[1]
KLa2Se | PBE | relaxed

Cell: 3.9141 3.9480 21.9357 Å, 90.00 90.00 90.00°
Space group Imm2 (No. 44)
Unique sites:
K1 0.0000 0.0000 0.0000 (multiplicity 2)
La1 0.0000 0.0000 0.3344 (multiplicity 2)
La2 0.0000 0.5000 0.6792 (multiplicity 2)
Se1 0.0000 0.5000 0.2313 (multiplicity 2)

## Properties
The total energy is -4.23 eV per atom. The value obtained for the uncorrected formation energy is -0.62 eV/atom.



[2]
KLaSe2 | PBE | relaxed

Cell: 16.2151 3.9797 4.3011 Å, 90.00 90.25 90.00°
Space group Cm (No. 8)
Unique sites:
K1 0.0000 0.0000 0.0000 (multiplicity 2)
La1 0.2716 0.5000 0.4963 (multiplicity 2)
Se1 0.2043 0.0000 0.9952 (multiplicity 2)
Se2 0.4047 0.0000 0.4983 (multiplicity 2)

## Properties
The total energy is -4.91 eV per atom. The value obtained for the uncorrected formation energy is -1.66 eV/atom.